Record 1
Here is a geometry-optimized LiIrRh2 structure from the Alexandria database. Energies are from PBE.

Lattice parameters (Å, degrees): 5.0277 5.0277 5.0277 147.16 128.45 62.48
Last column: nearest neighbours and their distance in Å.
Fractional coordinates of all 4 atoms:
Li1 0.0000 0.0000 0.0000  6 Rh 2.42-2.61, 2 Ir 2.47
Ir1 0.7651 0.2651 0.5000  2 Li 2.47, 6 Rh 2.63-2.69
Rh1 0.2281 0.7281 0.5000  2 Li 2.42, 4 Ir 2.63
Rh2 0.4995 0.4995 0.0000  4 Li 2.61, 2 Ir 2.69, 4 Rh 2.73-2.84

E_tot	-6.356	eV per atom
E_form	0.01	eV/atom
relative energy among the computed polymorphs	0.55	eV/f.u.

***

Record 2
Here is a geometry-optimized Li4Ti15O32 structure from the Alexandria database. Energies are from PBE.

Lattice parameters (Å, degrees): 19.7383 19.7383 19.7383 17.42 17.42 17.42
Last column: nearest neighbours and their distance in Å.
Fractional coordinates of all 51 atoms:
Li1 0.0940 0.0940 0.0940  4 O 2.01-2.03
Li2 0.1557 0.1557 0.1557  4 O 1.97-2.03
Li3 0.8443 0.8443 0.8443  4 O 1.97-2.03
Li4 0.9060 0.9060 0.9060  4 O 2.01-2.03
Ti1 0.0000 0.0000 0.0000  6 O 1.98
Ti2 0.1269 0.1269 0.6214  6 O 1.96-2.04
Ti3 0.1269 0.6214 0.1269  6 O 1.96-2.04
Ti4 0.1387 0.6204 0.6204  6 O 1.88-2.10
Ti5 0.2489 0.2489 0.2489  6 O 1.92-2.05
Ti6 0.3786 0.8731 0.8731  6 O 1.96-2.04
Ti7 0.3796 0.3796 0.8614  6 O 1.88-2.10
Ti8 0.3796 0.8614 0.3796  6 O 1.88-2.10
Ti9 0.6204 0.1386 0.6204  6 O 1.88-2.10
Ti10 0.6204 0.6204 0.1386  6 O 1.88-2.10
Ti11 0.6214 0.1269 0.1269  6 O 1.96-2.04
Ti12 0.7511 0.7511 0.7511  6 O 1.92-2.05
Ti13 0.8614 0.3796 0.3796  6 O 1.88-2.10
Ti14 0.8731 0.3786 0.8731  6 O 1.96-2.04
Ti15 0.8731 0.8731 0.3786  6 O 1.96-2.04
O1 0.0195 0.5812 0.5812  3 Ti 1.96-2.05
O2 0.0596 0.0596 0.0596  1 Li 2.01, 3 Ti 2.04
O3 0.0822 0.0822 0.5217  3 Ti 1.92-2.10, 1 Li 2.03
O4 0.0822 0.5217 0.0822  3 Ti 1.92-2.10, 1 Li 2.03
O5 0.1670 0.1670 0.7327  3 Ti 1.98-1.99
O6 0.1670 0.7327 0.1670  3 Ti 1.98-1.99
O7 0.1904 0.1904 0.1904  1 Li 2.03, 3 Ti 2.03
O8 0.2036 0.6859 0.6859  2 Ti 1.88, 1 Li 1.97
O9 0.2673 0.8330 0.8330  3 Ti 1.98-1.99
O10 0.3089 0.3089 0.3089  3 Ti 1.98
O11 0.3141 0.3141 0.7964  2 Ti 1.88, 1 Li 1.97
O12 0.3141 0.7964 0.3141  2 Ti 1.88, 1 Li 1.97
O13 0.4188 0.4188 0.9805  3 Ti 1.96-2.05
O14 0.4188 0.9805 0.4188  3 Ti 1.96-2.05
O15 0.4416 0.4416 0.4416  3 Ti 1.97
O16 0.4783 0.9178 0.9177  3 Ti 1.92-2.10, 1 Li 2.03
O17 0.5217 0.0823 0.0823  3 Ti 1.92-2.10, 1 Li 2.03
O18 0.5584 0.5584 0.5584  3 Ti 1.97
O19 0.5812 0.0195 0.5812  3 Ti 1.96-2.05
O20 0.5812 0.5812 0.0195  3 Ti 1.96-2.05
O21 0.6859 0.2036 0.6859  2 Ti 1.88, 1 Li 1.97
O22 0.6859 0.6859 0.2036  2 Ti 1.88, 1 Li 1.97
O23 0.6911 0.6911 0.6911  3 Ti 1.98
O24 0.7327 0.1670 0.1670  3 Ti 1.98-1.99
O25 0.7964 0.3141 0.3141  2 Ti 1.88, 1 Li 1.97
O26 0.8096 0.8096 0.8096  1 Li 2.03, 3 Ti 2.03
O27 0.8330 0.2673 0.8330  3 Ti 1.98-1.99
O28 0.8330 0.8330 0.2673  3 Ti 1.98-1.99
O29 0.9177 0.4783 0.9177  3 Ti 1.92-2.10, 1 Li 2.03
O30 0.9177 0.9177 0.4783  3 Ti 1.92-2.10, 1 Li 2.03
O31 0.9404 0.9404 0.9404  1 Li 2.01, 3 Ti 2.04
O32 0.9805 0.4188 0.4188  3 Ti 1.96-2.05

ΔE_f (raw)	-2.8547	eV/atom
E_tot	-8.438	eV per atom

***

Record 3
Here is a geometry-optimized La4RuN2 structure from the Alexandria database. Energies are from PBE.

Lattice parameters (Å, degrees): 7.4287 7.4287 7.4287 138.23 138.23 60.54
Last column: nearest neighbours and their distance in Å.
Fractional coordinates of all 7 atoms:
La1 0.0000 0.5000 0.5000  2 Ru 2.65, 4 N 2.92
La2 0.2458 0.2458 0.0000  1 N 2.02
La3 0.5000 0.0000 0.5000  2 Ru 2.65, 4 N 2.92
La4 0.7542 0.7542 0.0000  1 N 2.02
Ru1 0.0000 0.0000 0.0000  4 La 2.65
N1 0.4035 0.4035 0.0000  1 La 2.02
N2 0.5965 0.5965 0.0000  1 La 2.02

ΔE_f (raw)	-0.3389	eV/atom
E_tot	-6.858	eV per atom

***

Record 4
Here is a geometry-optimized SiPt3Se structure from the Alexandria database. Energies are from PBE.

Lattice parameters (Å, degrees): 4.5609 4.5609 4.5609 90.00 90.00 90.00
Last column: nearest neighbours and their distance in Å.
Fractional coordinates of all 5 atoms:
Si1 0.0000 0.0000 0.0000  6 Pt 2.28
Pt1 0.0000 0.0000 0.5000  2 Si 2.28
Pt2 0.0000 0.5000 0.0000  2 Si 2.28
Pt3 0.5000 0.0000 0.0000  2 Si 2.28
Se1 0.5000 0.5000 0.5000  12 Pt 3.23

ΔE_f (raw)	0.3468	eV/atom
E_tot	-5.059	eV per atom
relative energy among the computed polymorphs	0.00	eV/f.u.

***

Record 5
Here is a geometry-optimized CaPm2Ir9 structure from the Alexandria database. Energies are from PBE.

Lattice parameters (Å, degrees): 9.3425 9.3425 9.3425 33.35 33.35 33.35
Last column: nearest neighbours and their distance in Å.
Fractional coordinates of all 12 atoms:
Ca1 0.0000 0.0000 0.0000  18 Ir 3.10-3.43
Pm1 0.1382 0.1382 0.1382  12 Ir 3.08-3.40, 3 Pm 3.44
Pm2 0.8618 0.8618 0.8618  12 Ir 3.08-3.40, 3 Pm 3.44
Ir1 0.0840 0.5794 0.5794  7 Ir 2.62-2.74
Ir2 0.3320 0.3320 0.3320  6 Ir 2.62-2.66
Ir3 0.4206 0.4206 0.9160  7 Ir 2.62-2.74
Ir4 0.4206 0.9160 0.4206  7 Ir 2.62-2.74
Ir5 0.5000 0.5000 0.5000  6 Ir 2.74
Ir6 0.5794 0.0840 0.5794  7 Ir 2.62-2.74
Ir7 0.5794 0.5794 0.0840  7 Ir 2.62-2.74
Ir8 0.6680 0.6680 0.6680  6 Ir 2.62-2.66
Ir9 0.9160 0.4206 0.4206  7 Ir 2.62-2.74

E_tot	-8.047	eV per atom
E_form	-0.44	eV/atom

***

Record 6
Here is a geometry-optimized TbAg2Ge structure from the Alexandria database. Energies are from PBE.

Lattice parameters (Å, degrees): 10.6891 10.6891 10.6891 16.68 16.68 16.68
Last column: nearest neighbours and their distance in Å.
Fractional coordinates of all 4 atoms:
Tb1 0.0000 0.0000 0.0000  2 Ag 2.95, 6 Tb 3.10
Ag1 0.0932 0.0932 0.0932  3 Ge 2.93, 1 Tb 2.95, 6 Ag 3.10
Ag2 0.9068 0.9068 0.9068  3 Ge 2.93, 1 Tb 2.95, 6 Ag 3.10
Ge1 0.5000 0.5000 0.5000  6 Ag 2.93, 6 Ge 3.10

E_tot	-3.446	eV per atom
E_form	0.29	eV/atom

***

Record 7
Here is a geometry-optimized La4Cd2Pb structure from the Alexandria database. Energies are from PBE.

Lattice parameters (Å, degrees): 9.4307 9.4307 9.4307 33.98 33.98 33.98
Last column: nearest neighbours and their distance in Å.
Fractional coordinates of all 7 atoms:
La1 0.1171 0.1171 0.1171  4 Cd 3.29-3.48, 3 Pb 3.44
La2 0.3693 0.3693 0.3693  4 Cd 3.24-3.45, 1 Pb 3.48
La3 0.6307 0.6307 0.6307  4 Cd 3.24-3.45, 1 Pb 3.48
La4 0.8829 0.8829 0.8829  4 Cd 3.29-3.48, 3 Pb 3.44
Cd1 0.2477 0.2477 0.2477  8 La 3.24-3.48
Cd2 0.7523 0.7523 0.7523  8 La 3.24-3.48
Pb1 0.5000 0.5000 0.5000  8 La 3.44-3.48, 6 Cd 3.84

E_tot	-3.859	eV per atom
E_form	-0.25	eV/atom

***

Record 8
Here is a geometry-optimized YHo2Er8 structure from the Alexandria database. Energies are from PBE.

Lattice parameters (Å, degrees): 9.4468 9.4468 5.8587 107.01 107.01 122.72
Last column: nearest neighbours and their distance in Å.
Fractional coordinates of all 11 atoms:
Y1 0.0000 0.0000 0.0000  4 Er 3.36-3.50
Ho1 0.3107 0.6893 0.5000  12 Er 3.43-3.84
Ho2 0.6893 0.3107 0.5000  12 Er 3.43-3.84
Er1 0.0973 0.3497 0.7062  5 Er 3.18-3.55, 2 Ho 3.45-3.54
Er2 0.2027 0.7973 0.0000  1 Y 3.36, 4 Ho 3.43-3.60, 6 Er 3.47-3.59
Er3 0.3497 0.0973 0.7062  5 Er 3.18-3.55, 2 Ho 3.45-3.54
Er4 0.4567 0.4567 0.2196  4 Er 2.88-3.18
Er5 0.5433 0.5433 0.7804  4 Er 2.88-3.18
Er6 0.6503 0.9027 0.2938  5 Er 3.18-3.55, 2 Ho 3.45-3.54
Er7 0.7973 0.2027 0.0000  1 Y 3.36, 4 Ho 3.43-3.60, 6 Er 3.47-3.59
Er8 0.9027 0.6503 0.2938  5 Er 3.18-3.55, 2 Ho 3.45-3.54

E_tot	-4.583	eV per atom
E_form	0.16	eV/atom
relative energy among the computed polymorphs	0.39	eV/f.u.

***

Record 9
Here is a geometry-optimized SrNbNi3 structure from the Alexandria database. Energies are from PBE.

Lattice parameters (Å, degrees): 4.6309 4.6309 4.6309 90.00 90.00 90.00
Last column: nearest neighbours and their distance in Å.
Fractional coordinates of all 5 atoms:
Sr1 0.0000 0.0000 0.0000  6 Ni 2.32
Nb1 0.5000 0.5000 0.5000  12 Ni 3.27
Ni1 0.0000 0.0000 0.5000  2 Sr 2.32
Ni2 0.0000 0.5000 0.0000  2 Sr 2.32
Ni3 0.5000 0.0000 0.0000  2 Sr 2.32

E_tot	-3.961	eV per atom
E_form	1.86	eV/atom
relative energy among the computed polymorphs	6.58	eV/f.u.